VASP calculation (PBE) on crystalline La2ZnSiAu6 at its relaxed geometry.

```
La2ZnSiAu6
1.0
6.900 0.000 0.000
0.000 6.900 0.000
3.450 3.450 4.879
Au La Zn Si
6 2 1 1
Direct
0.754 0.246 0.000
0.246 0.246 0.508
0.754 0.754 0.492
0.754 0.754 0.000
0.246 0.246 0.000
0.246 0.754 0.000
0.250 0.750 0.500
0.750 0.250 0.500
0.500 0.500 0.000
0.000 0.000 0.000
```

The calculation puts the electronic total energy at -4.0200 eV per atom. For the magnetic moment, the calculation gives 0.000 Bohr magnetons per cell.


VASP calculation (PBE) on crystalline K4LaRe3O12 at its relaxed geometry.

```
K4LaRe3O12
1.0
7.140 0.000 0.000
-2.380 6.731 0.000
-2.380 -3.366 5.830
O K La Re
12 4 1 3
Direct
0.276 0.000 0.276
0.500 0.250 0.750
0.276 0.276 0.000
0.724 0.724 0.000
0.500 0.750 0.250
0.000 0.724 0.724
0.750 0.500 0.250
0.250 0.750 0.500
0.000 0.276 0.276
0.250 0.500 0.750
0.724 0.000 0.724
0.750 0.250 0.500
0.500 0.000 0.000
0.500 0.500 0.500
0.000 0.000 0.500
0.000 0.500 0.000
0.000 0.000 0.000
0.000 0.500 0.500
0.500 0.500 0.000
0.500 0.000 0.500
```

The calculation puts the electronic total energy at -7.1378 eV per atom. For the magnetic moment, the calculation gives 1.274 Bohr magnetons per cell.


What did we get for ρ? Answer: 11.100, 6.199 Mg/m³, in the order shown.
What did we get for formation energy (no corrections)? Answer: -0.398, -1.830 eV/atom, in the order shown.
What did we get for DOS at the Fermi energy? Answer: 4.66, 8.92 states/eV/cell, in the order shown.